No. 1
The following is a PBE calculation of a relaxed structure of LiCu3Te4W, from OQMD.

Energy, eV/atom: -4.283
Calculated volume, A^3/atom: 24.32

abc: 6.026 6.026 6.026
angles: 90.00 90.00 90.00
Space group P-43m (No. 215)
One atom of each set of equivalent atoms:
Li 0.000 0.000 0.000
Cu 0.000 0.500 0.500
Te 0.248 0.248 0.248
W 0.500 0.500 0.500

=====

No. 2
The following is a PBE calculation of a relaxed structure of LiZrCuTe3, from OQMD.

Energy, eV/atom: -4.639
Calculated volume, A^3/atom: 25.00
Polymorph energy (0 for the lowest one), eV/f.u.: 0.00

abc: 13.695 3.987 10.989
angles: 90.00 90.00 90.00
Space group Pnma (No. 62)
One atom of each set of equivalent atoms:
Li 0.199 0.250 0.062
Zr 0.005 0.250 0.322
Cu 0.009 0.750 0.091
Te 0.119 0.250 0.559
Te 0.119 0.750 0.886
Te 0.149 0.750 0.253